# 1
Compound: RuW2
Source: the Alexandria database
Functional: PBE-GGA
Structure: optimized geometry

a b c (Å): 2.7377 4.0487 18.4261
angles (deg): 90.00 90.00 90.00
Closest atoms and distances in Å follow each position.
Sites, in units of the cell vectors:
W (0.5000, 0.2500, 0.4571)  5 W 2.57-2.74, 4 Ru 2.75
W (0.5000, 0.7500, 0.6850)  5 W 2.62-2.76, 4 Ru 2.79
W (0.0000, 0.2500, 0.1850)  5 W 2.62-2.76, 4 Ru 2.79
W (0.5000, 0.2500, 0.3150)  5 W 2.62-2.76, 4 Ru 2.79
W (0.0000, 0.7500, 0.9571)  5 W 2.57-2.74, 4 Ru 2.75
W (0.0000, 0.7500, 0.8150)  5 W 2.62-2.76, 4 Ru 2.79
W (0.5000, 0.7500, 0.5429)  5 W 2.57-2.74, 4 Ru 2.75
W (0.0000, 0.2500, 0.0429)  5 W 2.57-2.74, 4 Ru 2.75
Ru (0.5000, 0.2500, 0.8881)  2 Ru 2.74, 8 W 2.75-2.79
Ru (0.0000, 0.2500, 0.6119)  2 Ru 2.74, 8 W 2.75-2.79
Ru (0.0000, 0.7500, 0.3881)  2 Ru 2.74, 8 W 2.75-2.79
Ru (0.5000, 0.7500, 0.1119)  2 Ru 2.74, 8 W 2.75-2.79

Results
density = 15.24 g cm⁻³
ΔE_f = 691 meV per atom
crystal system = orthorhombic
total magnetic moment = 0.0 μB/f.u.

---

# 2
Compound: RuW2
Source: the Alexandria database
Functional: PBE-GGA
Structure: optimized geometry

a b c (Å): 4.2516 4.2516 4.2516
angles (deg): 60.00 60.00 60.00
Closest atoms and distances in Å follow each position.
Sites, in units of the cell vectors:
W (0.2500, 0.2500, 0.2500)  4 Ru 2.60
W (0.7500, 0.7500, 0.7500)  4 Ru 2.60
Ru (0.0000, 0.0000, 0.0000)  8 W 2.60

Results
density = 14.32 g cm⁻³
ΔE_f = 815 meV per atom
crystal system = cubic
total magnetic moment = 0.0 μB/f.u.